Arrangement A

Material: BaCd4Ag4
Method: DFT, PBE
State: relaxed

POSCAR file:
```
BaCd4Ag4
1.0
-4.8447 4.8447 2.5076
4.8447 -4.8447 2.5076
4.8447 4.8447 -2.5076
Ba Cd Ag
1 4 4
Direct
0.0000 0.0000 0.0000
0.1060 0.6036 0.7096
0.3964 0.1060 0.5023
0.6036 0.8940 0.4977
0.8940 0.3964 0.2904
0.2130 0.3224 0.5353
0.3224 0.7870 0.1094
0.6776 0.2130 0.8906
0.7870 0.6776 0.4647
```

Summary:
M_tot: 0.000 μB/atom
DOS(E_F): 5.82 states/eV/cell
V: 235.4 Å³ per cell

Arrangement B

Material: BaCd4Ag4
Method: DFT, PBE
State: relaxed

POSCAR file:
```
BaCd4Ag4
1.0
6.6307 0.0000 0.0000
0.0000 6.6307 0.0000
0.0000 0.0000 9.9355
Ba Cd Ag
2 8 8
Direct
0.2500 0.7500 0.2500
0.7500 0.2500 0.7500
0.0204 0.2500 0.1600
0.2500 0.0204 0.6600
0.2500 0.4796 0.6600
0.4796 0.2500 0.1600
0.5204 0.7500 0.8400
0.7500 0.5204 0.3400
0.7500 0.9796 0.3400
0.9796 0.7500 0.8400
0.0404 0.2500 0.4526
0.2500 0.0404 0.9526
0.2500 0.4596 0.9526
0.4596 0.2500 0.4526
0.5404 0.7500 0.5474
0.7500 0.5404 0.0474
0.7500 0.9596 0.0474
0.9596 0.7500 0.5474
```

Summary:
M_tot: 0.000 μB/atom
DOS(E_F): 8.83 states/eV/cell
V: 436.8 Å³ per cell

Order from most stable to least stable according to the calculation: arrangement B, arrangement A

Arrangement A

Material: BaCd3Ag2
Method: DFT, PBE
State: relaxed

POSCAR file:
```
BaCd3Ag2
1.0
10.6833 0.0000 0.0000
-5.3416 9.2520 0.0000
0.0000 0.0000 4.6856
Ba Cd Ag
3 9 6
Direct
0.0000 0.0000 0.0000
0.3333 0.6667 0.5000
0.6667 0.3333 0.5000
0.0000 0.3001 0.5000
0.0000 0.5000 0.0000
0.0000 0.6999 0.5000
0.3001 0.0000 0.5000
0.3001 0.3001 0.5000
0.5000 0.0000 0.0000
0.5000 0.5000 0.0000
0.6999 0.0000 0.5000
0.6999 0.6999 0.5000
0.1877 0.3755 0.0000
0.1877 0.8123 0.0000
0.3755 0.1877 0.0000
0.6245 0.8123 0.0000
0.8123 0.1877 0.0000
0.8123 0.6245 0.0000
```

Summary:
M_tot: 0.000 μB/atom
DOS(E_F): 10.32 states/eV/cell
V: 463.1 Å³ per cell

Arrangement B

Material: BaCd3Ag2
Method: DFT, PBE
State: relaxed

POSCAR file:
```
BaCd3Ag2
1.0
8.9712 -2.3238 0.0000
8.9712 2.3238 0.0000
-3.9495 0.0000 7.7674
Ba Cd Ag
2 6 4
Direct
0.1467 0.1467 0.0707
0.8533 0.8533 0.9293
0.0338 0.0338 0.3714
0.3157 0.3157 0.5486
0.3995 0.3995 0.3100
0.6005 0.6005 0.6900
0.6843 0.6843 0.4514
0.9662 0.9662 0.6286
0.1936 0.1936 0.6783
0.4826 0.4826 0.8294
0.5174 0.5174 0.1706
0.8064 0.8064 0.3217
```

Summary:
M_tot: 0.000 μB/atom
DOS(E_F): 5.78 states/eV/cell
V: 323.9 Å³ per cell

Order from most stable to least stable according to the calculation: arrangement A, arrangement B

Arrangement A

Material: Ba8Cd2Ag
Method: DFT, PBE
State: relaxed

POSCAR file:
```
Ba8Cd2Ag
1.0
10.7698 -3.0116 0.0000
10.7698 3.0116 0.0000
-2.3407 0.0000 7.9848
Ba Cd Ag
8 2 1
Direct
0.0316 0.0316 0.2968
0.2080 0.2080 0.8146
0.3373 0.3373 0.5321
0.4066 0.4066 0.0633
0.5934 0.5934 0.9367
0.6627 0.6627 0.4679
0.7920 0.7920 0.1854
0.9684 0.9684 0.7032
0.1849 0.1849 0.2169
0.8151 0.8151 0.7831
0.5000 0.5000 0.5000
```

Summary:
M_tot: 0.000 μB/atom
DOS(E_F): 14.85 states/eV/cell
V: 518.0 Å³ per cell

Arrangement B

Material: Ba8Cd2Ag
Method: DFT, PBE
State: relaxed

POSCAR file:
```
Ba8Cd2Ag
1.0
5.2110 -7.7570 0.0000
5.2110 7.7570 0.0000
-2.6566 0.0000 6.9756
Ba Cd Ag
8 2 1
Direct
0.0000 0.0000 0.0000
0.0133 0.2742 0.5799
0.1505 0.5587 0.1910
0.2742 0.0133 0.5799
0.4288 0.6928 0.8038
0.5587 0.1505 0.1910
0.6928 0.4288 0.8038
0.7055 0.7055 0.3731
0.0370 0.6651 0.6877
0.6651 0.0370 0.6877
0.3482 0.3482 0.9743
```

Summary:
M_tot: 0.000 μB/atom
DOS(E_F): 15.20 states/eV/cell
V: 563.9 Å³ per cell

Order from most stable to least stable according to the calculation: arrangement A, arrangement B